[1]
# La2RhC

A relaxed structure of La2RhC (PBE, Alexandria via LeMat-Bulk).

Unit cell a=6.2813 b=6.2813 c=6.2813 alpha=112.43 beta=112.43 gamma=103.71
Atoms (fractional coordinates):
La (0.0867, 0.1250, 0.4617)
La (0.3750, 0.9133, 0.0383)
La (0.6633, 0.6250, 0.5383)
La (0.8750, 0.3367, 0.9617)
Rh (0.2500, 0.7500, 0.5000)
Rh (0.5000, 0.5000, 0.0000)
C (0.0000, 0.0000, 0.0000)
C (0.7500, 0.2500, 0.5000)

Results
Space-group type ... No. 122
DFT formation energy ... 40 meV/atom
Crystal system ... tetragonal
ρ ... 6.89 g/cm³

=====

[2]
# KZrBe2

A relaxed structure of KZrBe2 (PBE, Alexandria via LeMat-Bulk).

Unit cell a=5.2737 b=5.2737 c=6.7697 alpha=103.58 beta=103.58 gamma=30.15
Atoms (fractional coordinates):
K (0.0000, 0.0000, 0.0000)
Zr (0.1669, 0.1669, 0.5402)
Be (0.4357, 0.4357, 0.5005)
Be (0.7979, 0.7979, 0.3178)

Results
Energy above the most stable polymorph in this dataset ... 96.9 kJ/mol of formula units
Space-group type ... No. 8
DFT formation energy ... 709 meV/atom
Crystal system ... monoclinic
ρ ... 2.69 g/cm³

=====

[3]
# LaTbPt

A relaxed structure of LaTbPt (PBE, Alexandria via LeMat-Bulk).

Unit cell a=4.8610 b=4.8610 c=7.1445 alpha=90.36 beta=90.36 gamma=89.94
Atoms (fractional coordinates):
La (0.2501, 0.2501, 0.1146)
La (0.7499, 0.7499, 0.8854)
Tb (0.2495, 0.7505, 0.5000)
Tb (0.7505, 0.2495, 0.5000)
Pt (0.2535, 0.2535, 0.7193)
Pt (0.7465, 0.7465, 0.2807)

Results
Energy above the most stable polymorph in this dataset ... 0.0 kJ/mol of formula units
Space-group type ... No. 12
DFT formation energy ... -857 meV/atom
Crystal system ... monoclinic
ρ ... 9.70 g/cm³

=====

[4]
# Ti4TcHg

A relaxed structure of Ti4TcHg (PBE, Alexandria via LeMat-Bulk).

Unit cell a=4.4595 b=4.4595 c=7.4396 alpha=107.42 beta=107.42 gamma=59.89
Atoms (fractional coordinates):
Ti (0.1142, 0.1142, 0.3413)
Ti (0.3658, 0.3658, 0.0971)
Ti (0.6342, 0.6342, 0.9029)
Ti (0.8858, 0.8858, 0.6587)
Tc (0.0000, 0.0000, 0.0000)
Hg (0.5000, 0.5000, 0.5000)

Results
Space-group type ... No. 12
DFT formation energy ... 227 meV/atom
Crystal system ... monoclinic
ρ ... 6.78 g/cm³

=====

[5]
# CaGaAg

A relaxed structure of CaGaAg (PBE, Alexandria via LeMat-Bulk).

Unit cell a=5.7656 b=5.7656 c=7.4439 alpha=128.28 beta=128.28 gamma=48.13
Atoms (fractional coordinates):
Ca (0.0477, 0.0477, 0.3021)
Ca (0.9523, 0.9523, 0.6979)
Ga (0.3396, 0.3396, 0.8875)
Ga (0.6604, 0.6604, 0.1125)
Ag (0.3262, 0.3262, 0.2608)
Ag (0.6738, 0.6738, 0.7392)

Results
Space-group type ... No. 12
DFT formation energy ... -413 meV/atom
Crystal system ... monoclinic
ρ ... 5.34 g/cm³

=====

[6]
# Ti2Pd9Pb

A relaxed structure of Ti2Pd9Pb (PBE, Alexandria via LeMat-Bulk).

Unit cell a=3.9855 b=3.9855 c=11.9945 alpha=90.00 beta=90.00 gamma=90.00
Atoms (fractional coordinates):
Ti (0.0000, 0.0000, 0.1623)
Ti (0.0000, 0.0000, 0.8377)
Pd (0.0000, 0.5000, 0.0000)
Pd (0.0000, 0.5000, 0.3184)
Pd (0.0000, 0.5000, 0.6816)
Pd (0.5000, 0.0000, 0.0000)
Pd (0.5000, 0.0000, 0.3184)
Pd (0.5000, 0.0000, 0.6816)
Pd (0.5000, 0.5000, 0.1605)
Pd (0.5000, 0.5000, 0.5000)
Pd (0.5000, 0.5000, 0.8395)
Pb (0.0000, 0.0000, 0.5000)

Results
Space-group type ... No. 123
DFT formation energy ... -523 meV/atom
Crystal system ... tetragonal
ρ ... 10.99 g/cm³

=====

[7]
# YCuCl5

A relaxed structure of YCuCl5 (PBE, Alexandria via LeMat-Bulk).

Unit cell a=7.6199 b=7.6199 c=8.1102 alpha=95.40 beta=95.40 gamma=121.13
Atoms (fractional coordinates):
Y (0.0392, 0.9608, 0.7500)
Y (0.9608, 0.0392, 0.2500)
Cu (0.5000, 0.5000, 0.0000)
Cu (0.5000, 0.5000, 0.5000)
Cl (0.0114, 0.7902, 0.0340)
Cl (0.1908, 0.4442, 0.3719)
Cl (0.2098, 0.9886, 0.4660)
Cl (0.4177, 0.5823, 0.7500)
Cl (0.4442, 0.1908, 0.8719)
Cl (0.5558, 0.8092, 0.1281)
Cl (0.5823, 0.4177, 0.2500)
Cl (0.7902, 0.0114, 0.5340)
Cl (0.8092, 0.5558, 0.6281)
Cl (0.9886, 0.2098, 0.9660)

Results
Space-group type ... No. 15
Crystal system ... monoclinic
ρ ... 2.77 g/cm³
Formation energy from raw total energies ... -1.448 eV per atom

=====

[8]
# LaZr2Cl

A relaxed structure of LaZr2Cl (PBE, Alexandria via LeMat-Bulk).

Unit cell a=5.4071 b=5.4071 c=3.3425 alpha=90.00 beta=90.00 gamma=90.00
Atoms (fractional coordinates):
La (0.0000, 0.0000, 0.0000)
Zr (0.0000, 0.5000, 0.5000)
Zr (0.5000, 0.0000, 0.5000)
Cl (0.5000, 0.5000, 0.0000)

Results
Energy above the most stable polymorph in this dataset ... 244.6 kJ/mol of formula units
Space-group type ... No. 123
Crystal system ... tetragonal
ρ ... 6.06 g/cm³
Formation energy from raw total energies ... 0.247 eV per atom

=====

[9]
# PmZn10Ag

A relaxed structure of PmZn10Ag (PBE, Alexandria via LeMat-Bulk).

Unit cell a=4.3774 b=5.0548 c=9.3053 alpha=90.00 beta=90.00 gamma=90.00
Atoms (fractional coordinates):
Pm (0.0000, 0.0000, 0.0000)
Zn (0.0000, 0.0000, 0.3476)
Zn (0.0000, 0.0000, 0.6524)
Zn (0.0000, 0.5000, 0.2018)
Zn (0.0000, 0.5000, 0.7982)
Zn (0.5000, 0.0000, 0.5000)
Zn (0.5000, 0.2424, 0.2397)
Zn (0.5000, 0.2424, 0.7603)
Zn (0.5000, 0.5000, 0.0000)
Zn (0.5000, 0.7576, 0.2397)
Zn (0.5000, 0.7576, 0.7603)
Ag (0.0000, 0.5000, 0.5000)

Results
Space-group type ... No. 47
DFT formation energy ... -113 meV/atom
Crystal system ... orthorhombic
ρ ... 7.31 g/cm³

=====

[10]
# La7NdTl3

A relaxed structure of La7NdTl3 (PBE, Alexandria via LeMat-Bulk).

Unit cell a=8.5856 b=8.5856 c=6.0931 alpha=110.69 beta=110.69 gamma=92.65
Atoms (fractional coordinates):
La (0.0000, 0.0000, 0.0000)
La (0.1064, 0.5432, 0.3232)
La (0.3340, 0.3340, 0.8346)
La (0.4568, 0.8936, 0.6768)
La (0.5432, 0.1064, 0.3232)
La (0.6660, 0.6660, 0.1654)
La (0.8936, 0.4568, 0.6768)
Nd (0.0000, 0.0000, 0.5000)
Tl (0.2634, 0.7366, 0.0000)
Tl (0.5000, 0.5000, 0.5000)
Tl (0.7366, 0.2634, 0.0000)

Results
Space-group type ... No. 12
DFT formation energy ... -75 meV/atom
Crystal system ... monoclinic
ρ ... 7.45 g/cm³

=====

[11]
# SmDyMgSc

A relaxed structure of SmDyMgSc (PBE, Alexandria via LeMat-Bulk).

Unit cell a=10.1487 b=10.1487 c=3.4025 alpha=90.00 beta=90.00 gamma=19.06
Atoms (fractional coordinates):
Sm (0.0000, 0.0000, 0.0000)
Dy (0.1554, 0.1554, 0.4998)
Mg (0.3790, 0.3790, 0.5015)
Sc (0.7728, 0.7728, 0.0000)

Results
Energy above the most stable polymorph in this dataset ... 29.4 kJ/mol of formula units
Space-group type ... No. 8
DFT formation energy ... 98 meV/atom
Crystal system ... monoclinic
ρ ... 5.54 g/cm³

=====

[12]
# Pm6SbAs3P2

A relaxed structure of Pm6SbAs3P2 (PBE, Alexandria via LeMat-Bulk).

Unit cell a=9.4878 b=9.4878 c=8.5105 alpha=102.77 beta=102.77 gamma=25.83
Atoms (fractional coordinates):
Pm (0.0030, 0.0030, 0.2636)
Pm (0.3277, 0.3277, 0.9079)
Pm (0.3308, 0.3308, 0.4204)
Pm (0.6692, 0.6692, 0.5796)
Pm (0.6723, 0.6723, 0.0921)
Pm (0.9970, 0.9970, 0.7364)
Sb (0.5000, 0.5000, 0.0000)
As (0.1650, 0.1650, 0.8318)
As (0.5000, 0.5000, 0.5000)
As (0.8350, 0.8350, 0.1682)
P (0.1680, 0.1680, 0.3355)
P (0.8320, 0.8320, 0.6645)

Results
Space-group type ... No. 12
Crystal system ... monoclinic
ρ ... 6.53 g/cm³
Formation energy from raw total energies ... -1.457 eV per atom

=====

[13]
# AlIr2Pb

A relaxed structure of AlIr2Pb (PBE, Alexandria via LeMat-Bulk).

Unit cell a=6.4787 b=6.4787 c=6.4787 alpha=151.84 beta=145.72 gamma=44.93
Atoms (fractional coordinates):
Al (0.0000, 0.0000, 0.0000)
Ir (0.1577, 0.6577, 0.5000)
Ir (0.4488, 0.4488, 0.0000)
Pb (0.7672, 0.2672, 0.5000)

Results
Energy above the most stable polymorph in this dataset ... 81.3 kJ/mol of formula units
Space-group type ... No. 44
DFT formation energy ... 41 meV/atom
Crystal system ... orthorhombic
ρ ... 14.25 g/cm³

=====

[14]
# CePr3Sm2S6

A relaxed structure of CePr3Sm2S6 (PBE, Alexandria via LeMat-Bulk).

Unit cell a=7.0274 b=7.0274 c=7.0461 alpha=99.59 beta=99.59 gamma=120.09
Atoms (fractional coordinates):
Ce (0.0000, 0.0000, 0.0000)
Pr (0.1685, 0.8315, 0.5000)
Pr (0.5000, 0.5000, 0.5000)
Pr (0.8315, 0.1685, 0.5000)
Sm (0.3329, 0.6671, 0.0000)
Sm (0.6671, 0.3329, 0.0000)
S (0.0806, 0.4135, 0.2413)
S (0.2525, 0.2525, 0.7575)
S (0.4135, 0.0806, 0.2413)
S (0.5865, 0.9194, 0.7587)
S (0.7475, 0.7475, 0.2425)
S (0.9194, 0.5865, 0.7587)

Results
Space-group type ... No. 12
Crystal system ... monoclinic
ρ ... 6.18 g/cm³
Formation energy from raw total energies ... -2.032 eV per atom

=====

[15]
# Hg3Bi

A relaxed structure of Hg3Bi (PBE, Alexandria via LeMat-Bulk).

Unit cell a=4.7430 b=4.7430 c=4.7430 alpha=90.00 beta=90.00 gamma=90.00
Atoms (fractional coordinates):
Hg (0.0000, 0.0000, 0.5000)
Hg (0.0000, 0.5000, 0.0000)
Hg (0.5000, 0.0000, 0.0000)
Bi (0.5000, 0.5000, 0.5000)

Results
Space-group type ... No. 221
DFT formation energy ... 133 meV/atom
Crystal system ... cubic
ρ ... 12.62 g/cm³

=====

[16]
# Ca2GaGe4Rh3

A relaxed structure of Ca2GaGe4Rh3 (PBE, Alexandria via LeMat-Bulk).

Unit cell a=4.2008 b=4.2008 c=10.5885 alpha=90.00 beta=90.00 gamma=90.00
Atoms (fractional coordinates):
Ca (0.0000, 0.5000, 0.2458)
Ca (0.5000, 0.0000, 0.7542)
Ga (0.0000, 0.0000, 0.5000)
Ge (0.0000, 0.0000, 0.0000)
Ge (0.0000, 0.5000, 0.6418)
Ge (0.5000, 0.0000, 0.3582)
Ge (0.5000, 0.5000, 0.0000)
Rh (0.0000, 0.5000, 0.8751)
Rh (0.5000, 0.0000, 0.1249)
Rh (0.5000, 0.5000, 0.5000)

Results
Space-group type ... No. 115
DFT formation energy ... -605 meV/atom
Crystal system ... tetragonal
ρ ... 6.66 g/cm³

=====

[17]
# Ba2NaLiMn

A relaxed structure of Ba2NaLiMn (PBE, Alexandria via LeMat-Bulk).

Unit cell a=5.8217 b=5.8217 c=5.3628 alpha=90.00 beta=90.00 gamma=90.00
Atoms (fractional coordinates):
Ba (0.0000, 0.5000, 0.0000)
Ba (0.5000, 0.0000, 0.0000)
Na (0.0000, 0.0000, 0.5000)
Li (0.5000, 0.5000, 0.5000)
Mn (0.5000, 0.5000, 0.0000)

Results
Space-group type ... No. 123
DFT formation energy ... 670 meV/atom
Crystal system ... tetragonal
ρ ... 3.28 g/cm³

=====

[18]
# MnTcPPdCl

A relaxed structure of MnTcPPdCl (PBE, Alexandria via LeMat-Bulk).

Unit cell a=4.4453 b=4.4663 c=4.5589 alpha=91.21 beta=103.36 gamma=103.73
Atoms (fractional coordinates):
Mn (0.0000, 0.0000, 0.0000)
Tc (0.3481, 0.8181, 0.6398)
P (0.1697, 0.2653, 0.5294)
Pd (0.7643, 0.4211, 0.6866)
Cl (0.5090, 0.7983, 0.1639)

Results
Energy above the most stable polymorph in this dataset ... 96.4 kJ/mol of formula units
Space-group type ... No. 1
Crystal system ... triclinic
ρ ... 6.34 g/cm³
Formation energy from raw total energies ... -0.022 eV per atom

=====

[19]
# NaTiCo3

A relaxed structure of NaTiCo3 (PBE, Alexandria via LeMat-Bulk).

Unit cell a=4.4021 b=4.4021 c=4.4021 alpha=90.00 beta=90.00 gamma=90.00
Atoms (fractional coordinates):
Na (0.0000, 0.0000, 0.0000)
Ti (0.5000, 0.5000, 0.5000)
Co (0.0000, 0.5000, 0.5000)
Co (0.5000, 0.0000, 0.5000)
Co (0.5000, 0.5000, 0.0000)

Results
Energy above the most stable polymorph in this dataset ... 0.0 kJ/mol of formula units
Space-group type ... No. 221
DFT formation energy ... 990 meV/atom
Crystal system ... cubic
ρ ... 4.82 g/cm³

=====

[20]
# Ba8ZnGa2

A relaxed structure of Ba8ZnGa2 (PBE, Alexandria via LeMat-Bulk).

Unit cell a=10.9655 b=10.9655 c=8.1686 alpha=106.04 beta=106.04 gamma=31.14
Atoms (fractional coordinates):
Ba (0.0355, 0.0355, 0.2951)
Ba (0.2048, 0.2048, 0.8156)
Ba (0.3332, 0.3332, 0.5351)
Ba (0.4035, 0.4035, 0.0573)
Ba (0.5965, 0.5965, 0.9427)
Ba (0.6668, 0.6668, 0.4649)
Ba (0.7952, 0.7952, 0.1844)
Ba (0.9645, 0.9645, 0.7049)
Zn (0.5000, 0.5000, 0.5000)
Ga (0.1876, 0.1876, 0.2118)
Ga (0.8124, 0.8124, 0.7882)

Results
Space-group type ... No. 12
DFT formation energy ... -151 meV/atom
Crystal system ... monoclinic
ρ ... 4.45 g/cm³

=====

[21]
# Zr2Nb2In

A relaxed structure of Zr2Nb2In (PBE, Alexandria via LeMat-Bulk).

Unit cell a=7.4781 b=7.4781 c=3.8676 alpha=90.00 beta=90.00 gamma=90.00
Atoms (fractional coordinates):
Zr (0.1734, 0.3266, 0.0000)
Zr (0.3266, 0.8266, 0.0000)
Zr (0.6734, 0.1734, 0.0000)
Zr (0.8266, 0.6734, 0.0000)
Nb (0.1241, 0.6241, 0.5000)
Nb (0.3759, 0.1241, 0.5000)
Nb (0.6241, 0.8759, 0.5000)
Nb (0.8759, 0.3759, 0.5000)
In (0.0000, 0.0000, 0.5000)
In (0.5000, 0.5000, 0.5000)

Results
Energy above the most stable polymorph in this dataset ... 0.0 kJ/mol of formula units
Space-group type ... No. 127
DFT formation energy ... 60 meV/atom
Crystal system ... tetragonal
ρ ... 7.42 g/cm³

=====

[22]
# ScPSe

A relaxed structure of ScPSe (PBE, Alexandria via LeMat-Bulk).

Unit cell a=4.5227 b=4.5227 c=4.5227 alpha=60.00 beta=60.00 gamma=60.00
Atoms (fractional coordinates):
Sc (0.0000, 0.0000, 0.0000)
P (0.7500, 0.7500, 0.7500)
Se (0.2500, 0.2500, 0.2500)

Results
Space-group type ... No. 216
Crystal system ... cubic
ρ ... 3.93 g/cm³
Formation energy from raw total energies ... -0.610 eV per atom

=====

[23]
# Ba2USi2N6

A relaxed structure of Ba2USi2N6 (PBE, Alexandria via LeMat-Bulk).

Unit cell a=6.8589 b=6.8589 c=6.8589 alpha=50.75 beta=50.75 gamma=50.75
Atoms (fractional coordinates):
Ba (0.2148, 0.2148, 0.2148)
Ba (0.7852, 0.7852, 0.7852)
U (0.0000, 0.0000, 0.0000)
Si (0.4102, 0.4102, 0.4102)
Si (0.5898, 0.5898, 0.5898)
N (0.2447, 0.2447, 0.7391)
N (0.2447, 0.7391, 0.2447)
N (0.2609, 0.7553, 0.7553)
N (0.7391, 0.2447, 0.2447)
N (0.7553, 0.2609, 0.7553)
N (0.7553, 0.7553, 0.2609)

Results
Space-group type ... No. 166
Crystal system ... trigonal
ρ ... 6.08 g/cm³
Formation energy from raw total energies ... -1.001 eV per atom

=====

[24]
# Y2ScPb

A relaxed structure of Y2ScPb (PBE, Alexandria via LeMat-Bulk).

Unit cell a=3.6800 b=4.5110 c=6.7733 alpha=90.00 beta=90.08 gamma=90.00
Atoms (fractional coordinates):
Y (0.9995, 0.0000, 0.2477)
Y (0.0005, 0.0000, 0.7523)
Sc (0.5000, 0.5000, 0.0000)
Pb (0.5000, 0.5000, 0.5000)

Results
Space-group type ... No. 10
DFT formation energy ... -259 meV/atom
Crystal system ... monoclinic
ρ ... 6.35 g/cm³

=====

[25]
# Co2RhAu2

A relaxed structure of Co2RhAu2 (PBE, Alexandria via LeMat-Bulk).

Unit cell a=6.3384 b=6.3384 c=3.7713 alpha=90.00 beta=90.00 gamma=90.00
Atoms (fractional coordinates):
Co (0.1227, 0.3773, 0.0000)
Co (0.3773, 0.8773, 0.0000)
Co (0.6227, 0.1227, 0.0000)
Co (0.8773, 0.6227, 0.0000)
Rh (0.0000, 0.0000, 0.0000)
Rh (0.5000, 0.5000, 0.0000)
Au (0.1768, 0.6768, 0.5000)
Au (0.3232, 0.1768, 0.5000)
Au (0.6768, 0.8232, 0.5000)
Au (0.8232, 0.3232, 0.5000)

Results
Energy above the most stable polymorph in this dataset ... 0.0 kJ/mol of formula units
Space-group type ... No. 127
DFT formation energy ... 329 meV/atom
Crystal system ... tetragonal
ρ ... 13.47 g/cm³